No. 1
# PtWSe2 (PBE-GGA, relaxed)
# - calculated volume (Å³/f.u.) = 66.6
# - energy above the most stable polymorph in this dataset (eV per formula unit) = 2.15
# - calculated total energy (eV per atom) = -6.02
# - formation energy from raw total energies (meV/atom) = 474
data_PtWSe2
_chemical_formula_sum 'Pt1 W1 Se2'
_cell_length_a 4.5502
_cell_length_b 4.5502
_cell_length_c 4.5502
_cell_angle_alpha 60.00
_cell_angle_beta 60.00
_cell_angle_gamma 60.00
_symmetry_space_group_name_H-M 'P 1'
_symmetry_Int_Tables_number 1
loop_
_symmetry_equiv_pos_as_xyz
'x,y,z'
loop_
_atom_site_label
_atom_site_type_symbol
_atom_site_fract_x
_atom_site_fract_y
_atom_site_fract_z
Pt1 Pt 0.5000 0.5000 0.5000
Se1 Se 0.2500 0.2500 0.2500
Se2 Se 0.7500 0.7500 0.7500
W1 W 0.0000 0.0000 0.0000



No. 2
# PtWSe2 (PBE-GGA, relaxed)
# - calculated volume (Å³/f.u.) = 66.1
# - energy above the most stable polymorph in this dataset (eV per formula unit) = 1.14
# - calculated total energy (eV per atom) = -6.27
# - formation energy from raw total energies (meV/atom) = 221
data_PtWSe2
_chemical_formula_sum 'Pt1 W1 Se2'
_cell_length_a 3.2239
_cell_length_b 3.2239
_cell_length_c 6.3645
_cell_angle_alpha 90.00
_cell_angle_beta 90.00
_cell_angle_gamma 90.00
_symmetry_space_group_name_H-M 'P 1'
_symmetry_Int_Tables_number 1
loop_
_symmetry_equiv_pos_as_xyz
'x,y,z'
loop_
_atom_site_label
_atom_site_type_symbol
_atom_site_fract_x
_atom_site_fract_y
_atom_site_fract_z
Se1 Se 0.0000 0.0000 0.4846
Se2 Se 0.0000 0.0000 0.0154
Pt1 Pt 0.5000 0.5000 0.7500
W1 W 0.5000 0.5000 0.2500



No. 3
# PtW3Se (PBE-GGA, relaxed)
# - calculated volume (Å³/f.u.) = 94.2
# - energy above the most stable polymorph in this dataset (eV per formula unit) = 0.00
# - calculated total energy (eV per atom) = -8.08
# - formation energy from raw total energies (meV/atom) = 1601
data_PtW3Se
_chemical_formula_sum 'Pt1 W3 Se1'
_cell_length_a 4.5498
_cell_length_b 4.5498
_cell_length_c 4.5498
_cell_angle_alpha 90.00
_cell_angle_beta 90.00
_cell_angle_gamma 90.00
_symmetry_space_group_name_H-M 'P 1'
_symmetry_Int_Tables_number 1
loop_
_symmetry_equiv_pos_as_xyz
'x,y,z'
loop_
_atom_site_label
_atom_site_type_symbol
_atom_site_fract_x
_atom_site_fract_y
_atom_site_fract_z
W1 W 0.0000 0.5000 0.0000
W2 W 0.5000 0.0000 0.0000
W3 W 0.0000 0.0000 0.5000
Se1 Se 0.0000 0.0000 0.0000
Pt1 Pt 0.5000 0.5000 0.5000



No. 4
# PtWSe2 (PBE-GGA, relaxed)
# - calculated volume (Å³/f.u.) = 72.1
# - energy above the most stable polymorph in this dataset (eV per formula unit) = 2.05
# - calculated total energy (eV per atom) = -6.04
# - formation energy from raw total energies (meV/atom) = 450
data_PtWSe2
_chemical_formula_sum 'Pt1 W1 Se2'
_cell_length_a 5.9156
_cell_length_b 5.9156
_cell_length_c 2.7348
_cell_angle_alpha 62.49
_cell_angle_beta 62.49
_cell_angle_gamma 90.73
_symmetry_space_group_name_H-M 'P 1'
_symmetry_Int_Tables_number 1
loop_
_symmetry_equiv_pos_as_xyz
'x,y,z'
loop_
_atom_site_label
_atom_site_type_symbol
_atom_site_fract_x
_atom_site_fract_y
_atom_site_fract_z
W1 W 0.5000 0.0000 0.5000
Se1 Se 0.5000 0.5000 0.0000
Se2 Se 0.0000 0.0000 0.0000
Pt1 Pt 0.0000 0.5000 0.5000



No. 5
# PtWSe3 (PBE-GGA, relaxed)
# - calculated volume (Å³/f.u.) = 116.2
# - energy above the most stable polymorph in this dataset (eV per formula unit) = 0.00
# - calculated total energy (eV per atom) = -5.09
# - formation energy from raw total energies (meV/atom) = 804
data_PtWSe3
_chemical_formula_sum 'Pt1 W1 Se3'
_cell_length_a 4.8797
_cell_length_b 4.8797
_cell_length_c 4.8797
_cell_angle_alpha 90.00
_cell_angle_beta 90.00
_cell_angle_gamma 90.00
_symmetry_space_group_name_H-M 'P 1'
_symmetry_Int_Tables_number 1
loop_
_symmetry_equiv_pos_as_xyz
'x,y,z'
loop_
_atom_site_label
_atom_site_type_symbol
_atom_site_fract_x
_atom_site_fract_y
_atom_site_fract_z
Se1 Se 0.0000 0.0000 0.5000
Se2 Se 0.0000 0.5000 0.0000
Se3 Se 0.5000 0.0000 0.0000
W1 W 0.0000 0.0000 0.0000
Pt1 Pt 0.5000 0.5000 0.5000



No. 6
# PtWSe4 (PBE-GGA, relaxed)
# - calculated volume (Å³/f.u.) = 115.6
# - energy above the most stable polymorph in this dataset (eV per formula unit) = 9.57
# - calculated total energy (eV per atom) = -4.11
# - formation energy from raw total energies (meV/atom) = 1374
data_PtWSe4
_chemical_formula_sum 'Pt1 W1 Se4'
_cell_length_a 5.4682
_cell_length_b 5.4682
_cell_length_c 5.4682
_cell_angle_alpha 60.00
_cell_angle_beta 60.00
_cell_angle_gamma 60.00
_symmetry_space_group_name_H-M 'P 1'
_symmetry_Int_Tables_number 1
loop_
_symmetry_equiv_pos_as_xyz
'x,y,z'
loop_
_atom_site_label
_atom_site_type_symbol
_atom_site_fract_x
_atom_site_fract_y
_atom_site_fract_z
Pt1 Pt 0.0000 0.0000 0.0000
Se1 Se 0.3744 0.3744 0.3744
Se2 Se 0.3744 0.3744 0.8769
Se3 Se 0.3744 0.8769 0.3744
Se4 Se 0.8769 0.3744 0.3744
W1 W 0.7500 0.7500 0.7500



What did the fifth record say?
# PtWSe3 (PBE-GGA, relaxed)
# - calculated volume (Å³/f.u.) = 116.2
# - energy above the most stable polymorph in this dataset (eV per formula unit) = 0.00
# - calculated total energy (eV per atom) = -5.09
# - formation energy from raw total energies (meV/atom) = 804
data_PtWSe3
_chemical_formula_sum 'Pt1 W1 Se3'
_cell_length_a 4.8797
_cell_length_b 4.8797
_cell_length_c 4.8797
_cell_angle_alpha 90.00
_cell_angle_beta 90.00
_cell_angle_gamma 90.00
_symmetry_space_group_name_H-M 'P 1'
_symmetry_Int_Tables_number 1
loop_
_symmetry_equiv_pos_as_xyz
'x,y,z'
loop_
_atom_site_label
_atom_site_type_symbol
_atom_site_fract_x
_atom_site_fract_y
_atom_site_fract_z
Se1 Se 0.0000 0.0000 0.5000
Se2 Se 0.0000 0.5000 0.0000
Se3 Se 0.5000 0.0000 0.0000
W1 W 0.0000 0.0000 0.0000
Pt1 Pt 0.5000 0.5000 0.5000